# 1
Here is a relaxed structure of In2CuPb from Alexandria. Energies are from PBE.

* D(E_F): 0.5569 states/eV per atom
* DFT total energy: -3.203 eV/atom
* space group: No. 166
* energy of formation: 0.1172 eV per atom

Lattice parameters (Å, degrees): 9.518 9.518 9.518 21.17 21.17 21.17
Fractional positions:
Cu: 0.750 0.750 0.750
In: 0.016 0.016 0.016
In: 0.484 0.484 0.484
Pb: 0.250 0.250 0.250

=====

# 2
Here is a relaxed structure of InCuPb from Alexandria. Energies are from PBE.

* D(E_F): 0.5598 states/eV per atom
* DFT total energy: -3.079 eV/atom
* space group: No. 194
* energy of formation: 0.4350 eV per atom

Lattice parameters (Å, degrees): 5.249 5.249 6.117 90.00 90.00 120.00
Fractional positions:
Pb: 0.333 0.667 0.750
Pb: 0.667 0.333 0.250
Cu: 0.000 0.000 0.000
Cu: 0.000 0.000 0.500
In: 0.333 0.667 0.250
In: 0.667 0.333 0.750

=====

# 3
Here is a relaxed structure of InCuPb from Alexandria. Energies are from PBE.

* D(E_F): 0.4465 states/eV per atom
* DFT total energy: -3.360 eV/atom
* space group: No. 107
* energy of formation: 0.1545 eV per atom

Lattice parameters (Å, degrees): 6.616 6.616 6.616 150.76 150.76 41.82
Fractional positions:
Cu: 0.991 0.991 0.000
In: 0.364 0.364 0.000
Pb: 0.646 0.646 0.000

=====

# 4
Here is a relaxed structure of InCuPb from Alexandria. Energies are from PBE.

* D(E_F): 0.3441 states/eV per atom
* DFT total energy: -3.303 eV/atom
* space group: No. 62
* energy of formation: 0.2112 eV per atom

Lattice parameters (Å, degrees): 7.808 6.348 5.765 90.00 90.00 90.00
Fractional positions:
Pb: 0.374 0.250 0.011
Pb: 0.126 0.750 0.511
Pb: 0.626 0.750 0.989
Pb: 0.874 0.250 0.489
Cu: 0.722 0.250 0.959
Cu: 0.778 0.750 0.459
Cu: 0.278 0.750 0.041
Cu: 0.222 0.250 0.541
In: 0.000 0.000 0.000
In: 0.500 0.500 0.500
In: 0.500 0.000 0.500
In: 0.000 0.500 0.000

=====

# 5
Here is a relaxed structure of In2CuPb from Alexandria. Energies are from PBE.

* D(E_F): 0.6473 states/eV per atom
* DFT total energy: -3.083 eV/atom
* space group: No. 122
* energy of formation: 0.2378 eV per atom

Lattice parameters (Å, degrees): 4.886 4.886 9.652 75.34 75.34 90.00
Fractional positions:
Pb: 0.000 0.000 0.000
Pb: 0.750 0.250 0.500
Cu: 0.500 0.500 0.000
Cu: 0.250 0.750 0.500
In: 0.548 0.125 0.250
In: 0.202 0.625 0.250
In: 0.375 0.452 0.750
In: 0.875 0.798 0.750

=====

# 6
Here is a relaxed structure of In3CuPb from Alexandria. Energies are from PBE.

* D(E_F): 0.7521 states/eV per atom
* energy above the lowest structure with this stoichiometry: 0.00 eV per formula unit
* DFT total energy: -3.047 eV/atom
* space group: No. 221
* energy of formation: 0.1567 eV per atom

Lattice parameters (Å, degrees): 5.152 5.152 5.152 90.00 90.00 90.00
Fractional positions:
Pb: 0.500 0.500 0.500
Cu: 0.000 0.000 0.000
In: 0.000 0.500 0.000
In: 0.000 0.000 0.500
In: 0.500 0.000 0.000

=====

# 7
Here is a relaxed structure of InCuPb from Alexandria. Energies are from PBE.

* D(E_F): 0.2727 states/eV per atom
* DFT total energy: -3.426 eV/atom
* space group: No. 1
* energy of formation: 0.0887 eV per atom

Lattice parameters (Å, degrees): 5.502 4.126 6.909 106.82 76.41 111.41
Fractional positions:
Pb: 0.016 0.157 0.311
Pb: 0.478 0.736 0.010
Cu: 0.611 0.436 0.279
Cu: 0.803 0.693 0.607
In: 0.397 0.977 0.573
In: 0.941 0.382 0.851

=====

# 8
Here is a relaxed structure of In2CuPb from Alexandria. Energies are from PBE.

* D(E_F): 0.4708 states/eV per atom
* DFT total energy: -3.069 eV/atom
* space group: No. 12
* energy of formation: 0.2515 eV per atom

Lattice parameters (Å, degrees): 4.776 6.403 3.693 73.65 88.93 111.56
Fractional positions:
Cu: 0.500 0.500 0.000
In: 0.000 0.000 0.000
In: 0.500 0.000 0.500
Pb: 0.000 0.500 0.500

=====

# 9
Here is a relaxed structure of In2CuPb2 from Alexandria. Energies are from PBE.

* D(E_F): 0.5216 states/eV per atom
* energy above the lowest structure with this stoichiometry: 1.56 eV per formula unit
* DFT total energy: -2.932 eV/atom
* space group: No. 139
* energy of formation: 0.4655 eV per atom

Lattice parameters (Å, degrees): 4.394 4.394 8.474 74.97 74.97 90.00
Fractional positions:
Pb: 0.750 0.250 0.500
Pb: 0.250 0.750 0.500
Cu: 0.000 0.000 0.000
In: 0.410 0.410 0.181
In: 0.590 0.590 0.819

=====

# 10
Here is a relaxed structure of In2CuPb from Alexandria. Energies are from PBE.

* D(E_F): 0.4241 states/eV per atom
* DFT total energy: -3.209 eV/atom
* space group: No. 99
* energy of formation: 0.1116 eV per atom

Lattice parameters (Å, degrees): 3.361 3.361 8.616 90.00 90.00 90.00
Fractional positions:
Cu: 0.500 0.500 0.769
In: 0.000 0.000 0.949
In: 0.500 0.500 0.228
Pb: 0.000 0.000 0.554

=====

# 11
Here is a relaxed structure of In2CuPb from Alexandria. Energies are from PBE.

* D(E_F): 0.4198 states/eV per atom
* DFT total energy: -3.094 eV/atom
* space group: No. 139
* energy of formation: 0.2267 eV per atom

Lattice parameters (Å, degrees): 5.710 5.710 5.710 133.18 133.18 68.38
Fractional positions:
Cu: 0.750 0.250 0.500
In: 0.000 0.000 0.000
In: 0.500 0.500 0.000
Pb: 0.250 0.750 0.500

=====

# 12
Here is a relaxed structure of In2CuPb from Alexandria. Energies are from PBE.

* D(E_F): 0.4532 states/eV per atom
* DFT total energy: -3.224 eV/atom
* space group: No. 123
* energy of formation: 0.0963 eV per atom

Lattice parameters (Å, degrees): 3.271 3.271 8.954 90.00 90.00 89.97
Fractional positions:
Cu: 0.500 0.500 0.750
In: 0.000 0.000 0.939
In: 0.000 0.000 0.561
Pb: 0.500 0.500 0.250